3
Lattice="0.000 2.911 2.911 2.911 0.000 2.911 2.911 2.911 0.000" Properties=species:S:1:pos:R:3 comment="PBE-GGA SmBeB, optimized geometry" total_energy_ev_per_atom=-4.919 e_above_lowest_polymorph_ev_per_atom=0.000 vol_a3_per_cell=49.33 pbc="T T T"
B 0.000 0.000 0.000
Sm 4.366 4.366 4.366
Be 1.455 1.455 1.455